# GdDy2Sn3Pd2Pt PBE relaxed
# volume = 396.1 Å³ per cell
# E_tot = -5.68 eV/atom
data_GdDy2Sn3Pd2Pt
_chemical_formula_sum 'Gd2 Dy4 Sn6 Pd4 Pt2'
_cell_length_a 3.979
_cell_length_b 13.141
_cell_length_c 7.576
_cell_angle_alpha 90.00
_cell_angle_beta 90.00
_cell_angle_gamma 90.00
_symmetry_space_group_name_H-M 'A m m 2'
_symmetry_Int_Tables_number 38
_symmetry_space_group_name_Hall 'A 2 -2'
loop_
_atom_site_label
_atom_site_fract_x
_atom_site_fract_y
_atom_site_fract_z
Gd1 0.000 0.000 0.000
Dy1 0.000 0.201 0.604
Sn1 0.500 0.000 0.663
Sn2 0.500 0.130 0.273
Pd1 0.500 0.168 0.902
Pt1 0.000 0.000 0.404

# Hf4ZnHgC2 PBE relaxed
# volume = 136.2 Å³ per cell
# E_tot = -8.06 eV/atom
data_Hf4ZnHgC2
_chemical_formula_sum 'Hf4 Zn1 Hg1 C2'
_cell_length_a 3.2866
_cell_length_b 3.2866
_cell_length_c 14.5569
_cell_angle_alpha 90.00
_cell_angle_beta 90.00
_cell_angle_gamma 120.00
_symmetry_space_group_name_H-M 'P -6 m 2'
_symmetry_Int_Tables_number 187
_symmetry_space_group_name_Hall 'P -6 2'
loop_
_atom_site_label
_atom_site_fract_x
_atom_site_fract_y
_atom_site_fract_z
Hf1 0.0000 0.0000 0.1597
Hf2 0.6667 0.3333 0.3315
Zn1 0.6667 0.3333 0.0000
Hg1 0.0000 0.0000 0.5000
C1 0.3333 0.6667 0.2465

volume of number 2 (Hf4ZnHgC2)?
136.2 Å³ per cell

Which of these has the lowest E_tot?
Hf4ZnHgC2

Look up the E_tot of the second one.
-8.06 eV/atom